Entry 1:
Crystalline NaMn3Cl at its relaxed geometry, computed with PBE-GGA.

abc: 4.420 4.420 4.420
angles: 90.00 90.00 90.00
Site moments in Bohr magnetons follow the coordinates.
Element x y z (fractional)
Na  0.500  0.500  0.500  -0.04
Cl  0.000  0.000  0.000  -0.03
Mn  0.000  0.500  0.000  3.15
Mn  0.500  0.000  0.000  3.24
Mn  0.000  0.000  0.500  2.98

Summary:
Raw formation energy in eV/atom: 0.776
Space group: No. 221
ΔE to the lowest computed polymorph in meV/atom: 0.0


Entry 2:
Crystalline LiCrCo at its relaxed geometry, computed with PBE-GGA.

abc: 2.511 2.511 6.522
angles: 90.00 90.00 120.00
Site moments in Bohr magnetons follow the coordinates.
Element x y z (fractional)
Co  0.000  0.000  0.016  0.38
Li  0.333  0.667  0.677  0.00
Cr  0.667  0.333  0.307  -0.12

Summary:
Space group: No. 156
Calculated formation energy in eV/atom: 0.27
ΔE to the lowest computed polymorph in meV/atom: 0.0


Entry 3:
Crystalline AcGa2AgPd at its relaxed geometry, computed with PBE-GGA.

abc: 4.656 4.656 6.016
angles: 112.76 112.76 90.00
Element x y z (fractional)
Ga  0.628  0.628  0.256
Pd  0.250  0.750  0.500
Ga  0.372  0.372  0.744
Ac  0.000  0.000  0.000
Ag  0.750  0.250  0.500

Summary:
Space group: No. 119
Calculated formation energy in eV/atom: -0.57


Computed calculated volume (Å³/atom) in order:
17.27 11.87 21.83
Computed N(E_F) (states/eV/atom) in order:
0.663 0.899 0.855